An optimized crystal structure of Pt2Rh. Source: the Alexandria database, functional GGA-PBE.

a = 2.722 Å, b = 3.748 Å, c = 19.513 Å
α = 90.00°, β = 90.00°, γ = 90.00°
Fractional positions:
Pt  0.500  0.250  0.309
Pt  0.000  0.250  0.047
Rh  0.000  0.250  0.619
Pt  0.000  0.250  0.191
Pt  0.000  0.750  0.953
Pt  0.500  0.250  0.453
Rh  0.500  0.750  0.119
Pt  0.000  0.750  0.809
Pt  0.500  0.750  0.547
Pt  0.500  0.750  0.691
Rh  0.000  0.750  0.381
Rh  0.500  0.250  0.881

Output
Symmetry: Imma, No. 74
Energy relative to the elements in eV per atom: 0.18

=====

An optimized crystal structure of Nb2GaPd. Source: the Alexandria database, functional GGA-PBE.

a = 2.874 Å, b = 2.874 Å, c = 10.031 Å
α = 81.76°, β = 81.76°, γ = 60.00°
Fractional positions:
Nb  0.087  0.087  0.738
Ga  0.500  0.500  0.500
Nb  0.913  0.913  0.262
Pd  0.000  0.000  0.000

Output
Symmetry: R-3m, No. 166
Energy relative to the elements in eV per atom: 0.16

=====

An optimized crystal structure of AlCuAs. Source: the Alexandria database, functional GGA-PBE.

a = 3.842 Å, b = 3.842 Å, c = 3.974 Å
α = 90.00°, β = 90.00°, γ = 120.00°
Fractional positions:
Cu  0.333  0.667  0.645
As  0.667  0.333  0.379
Al  0.000  0.000  0.976

Output
Symmetry: P3m1, No. 156
Energy relative to the elements in eV per atom: 0.06

=====

An optimized crystal structure of Nd2LuSc. Source: the Alexandria database, functional GGA-PBE.

a = 5.601 Å, b = 5.601 Å, c = 5.601 Å
α = 60.00°, β = 60.00°, γ = 60.00°
Fractional positions:
Nd  0.750  0.750  0.750
Nd  0.250  0.250  0.250
Sc  0.500  0.500  0.500
Lu  0.000  0.000  0.000

Output
Symmetry: Fm-3m, No. 225
Energy relative to the elements in eV per atom: 0.08

=====

An optimized crystal structure of MnAlBr2. Source: the Alexandria database, functional GGA-PBE.

a = 8.779 Å, b = 8.779 Å, c = 6.670 Å
α = 48.84°, β = 48.84°, γ = 90.00°
Fractional positions:
Br  0.975  0.625  0.250
Mn  0.000  0.000  0.000
Br  0.375  0.225  0.750
Br  0.875  0.025  0.750
Al  0.250  0.750  0.500
Mn  0.750  0.250  0.500
Al  0.500  0.500  0.000
Br  0.775  0.125  0.250

Output
Symmetry: I-42d, No. 122
ΔE_f (raw) in meV per atom: 199

=====

The D(E_F) results, record by record, are as follows: 19.3; 4.0; 0.9; 6.2; 8.4 states/eV per cell.
The calculated volume results, record by record, are as follows: 199.1; 70.8; 50.8; 124.3; 188.1 Å³/cell.
The size of the total moment results, record by record, are as follows: 0.000; 0.000; 0.000; 0.003; 0.000 μB/atom.